[1]
SrRe3H: optimized geometry, PBE.

Output
Its space group is Pm-3m, No. 221. Its energy above the most stable polymorph in this dataset is 3258 meV per atom. As for the density of states at the Fermi level: 1.0221 states/eV per atom. The value obtained for the magnetization is 0.60 μB per atom.

Unit cell a=4.886 b=4.886 c=4.886 alpha=90.00 beta=90.00 gamma=90.00
Site moments in Bohr magnetons follow the coordinates.
Fractional coordinates of all 5 atoms:
Re (0.000, 0.500, 0.000)  0.97
Re (0.000, 0.000, 0.500)  0.90
Re (0.500, 0.000, 0.000)  1.03
H (0.500, 0.500, 0.500)  -0.16
Sr (0.000, 0.000, 0.000)  -0.03

[2]
SrReH2: optimized geometry, PBE.

Output
Its space group is Fm-3m, No. 225. Its energy above the most stable polymorph in this dataset is 864 meV per atom. As for the density of states at the Fermi level: 0.7889 states/eV per atom. The value obtained for the magnetization is 0.62 μB per atom.

Unit cell a=4.311 b=4.311 c=4.311 alpha=60.00 beta=60.00 gamma=60.00
Site moments in Bohr magnetons follow the coordinates.
Fractional coordinates of all 4 atoms:
Re (0.500, 0.500, 0.500)  2.06
H (0.250, 0.250, 0.250)  -0.02
H (0.750, 0.750, 0.750)  -0.02
Sr (0.000, 0.000, 0.000)  0.03

Q: magnetization of number 1 (SrRe3H)?
A: 0.60 μB per atom